CsCuNiS2: optimized geometry, GGA-PBEsol.

The space group is P4/mmm (No. 123) and the conventional cell measures 4.518, 4.518 and 4.827 Å, with angles of 90.00, 90.00 and 90.00 degrees. The distinct sites, in fractional coordinates, are Cs at (0.000, 0.000, 0.000), Cu at (0.500, 0.500, 0.000), Ni at (0.500, 0.500, 0.500) and S at (0.000, 0.500, 0.500).

Its size of the total moment is 0.003 μB/cell. For the total energy, the calculation gives -4.021 eV per atom. Its formation energy from raw total energies is 0.0196 eV/atom.